1.
Computed, not measured: a PBEsol-optimized structure of ZnReTc2 at the SCAN level of DFT.

Cell and atoms, written as extended XYZ:
```
4
Lattice="2.7632 0.0000 0.0000 0.0000 2.7632 0.0000 0.0000 0.0000 7.3414" Properties=species:S:1:pos:R:3 pbc="T T T"
Zn 1.3816 1.3816 0.0000
Tc 0.0000 0.0000 5.4972
Re 1.3816 1.3816 3.6707
Tc 0.0000 0.0000 1.8442
```



2.
3
Lattice="-1.6895 1.7012 1.0791 1.7130 -0.7573 3.8758 1.5845 3.1443 -2.4763" Properties=species:S:1:pos:R:3 comment="ZnReTc (SCAN, single point on PBEsol structure)" de_polymorph_ev_per_atom=0.107 pbc="T T T"
Tc 0.4404 3.0389 0.3992
Zn 1.1019 1.1154 2.1213
Re -1.6238 1.6350 1.0372



E: -154.5 -119.4 (eV per cell)
N(E_F): 2.51 1.94 (states/eV/cell)
Formation enthalpy at 0 K: 0.055 0.093 (eV per atom)